1.
Sm3Er5Tm2 after structural relaxation. Source: Alexandria via LeMat-Bulk, functional PBE-GGA.

Cell and atoms, written as CIF:
```
data_Sm3Er5Tm2
_symmetry_space_group_name_H-M 'C 1 2/c 1'
_symmetry_Int_Tables_number 15
_cell_length_a 10.6073
_cell_length_b 15.7864
_cell_length_c 9.3553
_cell_angle_alpha 90.00
_cell_angle_beta 124.31
_cell_angle_gamma 90.00
loop_
_symmetry_equiv_pos_as_xyz
'x,y,z'
'-x,-y,-z'
'-x,y,-z+1/2'
'x,-y,z+1/2'
'x+1/2,y+1/2,z'
'-x+1/2,-y+1/2,-z'
'-x+1/2,y+1/2,-z+1/2'
'x+1/2,-y+1/2,z+1/2'
loop_
_atom_site_label
_atom_site_type_symbol
_atom_site_fract_x
_atom_site_fract_y
_atom_site_fract_z
Sm1 Sm 0.0000 0.2343 0.2500
Sm2 Sm 0.1437 0.1235 0.0446
Er1 Er 0.0000 0.0276 0.2500
Er2 Er 0.0000 0.2717 0.7500
Er3 Er 0.0000 0.4699 0.7500
Er4 Er 0.2389 0.3891 0.2305
Tm1 Tm 0.1526 0.3833 0.5481
```

Results
magnetic moment: 0.0000 μB/atom
excess energy over the best structure of this formula in the dataset: 0.000 eV/atom
DFT total energy: -175.7 eV/cell
E_form: 1.99 eV per formula unit

***

2.
VGaRh2Pb after structural relaxation. Source: Alexandria via LeMat-Bulk, functional PBE-GGA.

Cell and atoms, written as CIF:
```
data_VGaRh2Pb
_symmetry_space_group_name_H-M 'P 4/m m m'
_symmetry_Int_Tables_number 123
_symmetry_space_group_name_Hall '-P 4 2'
_cell_length_a 4.9640
_cell_length_b 4.9640
_cell_length_c 5.0055
_cell_angle_alpha 90.00
_cell_angle_beta 90.00
_cell_angle_gamma 90.00
loop_
_atom_site_label
_atom_site_type_symbol
_atom_site_fract_x
_atom_site_fract_y
_atom_site_fract_z
V1 V 0.0000 0.0000 0.0000
Ga1 Ga 0.5000 0.5000 0.0000
Rh1 Rh 0.0000 0.5000 0.5000
Pb1 Pb 0.0000 0.0000 0.5000
```

Results
magnetic moment: 0.0518 μB/atom
DFT total energy: -22.8 eV/cell
E_form: 7.74 eV per formula unit

***

3.
Y2AlAs after structural relaxation. Source: Alexandria via LeMat-Bulk, functional PBE-GGA.

Cell and atoms, written as CIF:
```
data_Y2AlAs
_symmetry_space_group_name_H-M 'C 1 2/m 1'
_symmetry_Int_Tables_number 12
_cell_length_a 6.8834
_cell_length_b 3.9666
_cell_length_c 7.9851
_cell_angle_alpha 90.00
_cell_angle_beta 106.58
_cell_angle_gamma 90.00
loop_
_symmetry_equiv_pos_as_xyz
'x,y,z'
'-x,-y,-z'
'-x,y,-z'
'x,-y,z'
'x+1/2,y+1/2,z'
'-x+1/2,-y+1/2,-z'
'-x+1/2,y+1/2,-z'
'x+1/2,-y+1/2,z'
loop_
_atom_site_label
_atom_site_type_symbol
_atom_site_fract_x
_atom_site_fract_y
_atom_site_fract_z
Y1 Y 0.2400 0.0000 0.2210
Al1 Al 0.0000 0.0000 0.5000
As1 As 0.0000 0.5000 0.0000
```

Results
magnetic moment: 0.0000 μB/atom
excess energy over the best structure of this formula in the dataset: 0.062 eV/atom
DFT total energy: -49.2 eV/cell
E_form: -3.28 eV per formula unit

***

4.
Mg5Ag2Sn2Hg after structural relaxation. Source: Alexandria via LeMat-Bulk, functional PBE-GGA.

Cell and atoms, written as CIF:
```
data_Mg5Ag2Sn2Hg
_symmetry_space_group_name_H-M 'P 4/m b m'
_symmetry_Int_Tables_number 127
_symmetry_space_group_name_Hall '-P 4 2ab'
_cell_length_a 11.1981
_cell_length_b 11.1981
_cell_length_c 3.5575
_cell_angle_alpha 90.00
_cell_angle_beta 90.00
_cell_angle_gamma 90.00
loop_
_atom_site_label
_atom_site_type_symbol
_atom_site_fract_x
_atom_site_fract_y
_atom_site_fract_z
Mg1 Mg 0.0000 0.5000 0.0000
Mg2 Mg 0.0312 0.2078 0.0000
Ag1 Ag 0.1345 0.3655 0.5000
Sn1 Sn 0.1797 0.6797 0.5000
Hg1 Hg 0.0000 0.0000 0.5000
```

Results
magnetic moment: 0.0000 μB/atom
DFT total energy: -46.3 eV/cell
E_form: -1.18 eV per formula unit